Entry from Alexandria: a relaxed Tb4SnP3Rh12 crystal (PBE).

Cell and atoms, written as extended XYZ:
```
20
Lattice="-4.5421 4.5421 4.5421 4.5421 -4.5421 4.5421 4.5421 4.5421 -4.5421" Properties=species:S:1:pos:R:3 pbc="T T T"
Tb 2.2710 2.2710 -2.2710
Tb 2.2710 -2.2710 2.2710
Tb -2.2710 2.2710 2.2710
Tb 2.2710 2.2710 2.2710
Sn 0.0000 0.0000 0.0000
P 4.5421 0.0000 0.0000
P 0.0000 4.5421 0.0000
P 0.0000 0.0000 4.5421
Rh 2.4334 0.0000 0.0000
Rh 6.6508 0.0000 0.0000
Rh 4.5421 2.2710 0.0000
Rh 4.5421 0.0000 2.2710
Rh 0.0000 2.4334 0.0000
Rh 0.0000 0.0000 2.4334
Rh 2.2710 4.5421 0.0000
Rh 2.2710 0.0000 4.5421
Rh 0.0000 6.6508 0.0000
Rh 0.0000 0.0000 6.6508
Rh 0.0000 4.5421 2.2710
Rh 0.0000 2.2710 4.5421
```

Calculated values
For the formation energy, the calculation gives -10.34 eV/f.u. The total moment is 0.0 μB/f.u. The value obtained for the raw total energy is -137.3 eV per cell.

=====

Entry from Alexandria: a relaxed Na2RhSe2 crystal (PBE).

Cell and atoms, written as extended XYZ:
```
10
Lattice="6.7103 0.0000 0.0000 0.0000 6.7103 0.0000 0.0000 0.0000 4.6422" Properties=species:S:1:pos:R:3 pbc="T T T"
Na 1.0922 2.2629 0.0000
Na 2.2629 5.6181 0.0000
Na 4.4473 1.0922 0.0000
Na 5.6181 4.4473 0.0000
Rh 0.0000 0.0000 2.3211
Rh 3.3551 3.3551 2.3211
Se 1.0693 4.4244 2.3211
Se 2.2859 1.0693 2.3211
Se 4.4244 5.6410 2.3211
Se 5.6410 2.2859 2.3211
```

Calculated values
The total moment is 0.0 μB/f.u. The calculation puts the energy relative to the elements, uncorrected at -0.543 eV per atom. The value obtained for the raw total energy is -39.3 eV per cell.

=====

Entry from Alexandria: a relaxed LaFeC crystal (PBE).

Cell and atoms, written as extended XYZ:
```
12
Lattice="6.3028 0.0000 0.0000 0.0000 6.2757 0.0000 -1.7045 0.0000 5.2479" Properties=species:S:1:pos:R:3 pbc="T T T"
La 0.6809 0.4920 1.7108
La -0.1713 2.6459 4.3347
La 4.7697 3.6298 0.9132
La 3.9175 5.7837 3.5371
Fe 1.9337 4.0583 1.8928
Fe 1.0815 5.3553 4.5168
Fe 3.5169 0.9204 0.7311
Fe 2.6646 2.2174 3.3551
C 1.7181 0.8117 4.1073
C 2.5703 2.3262 1.4834
C 2.0281 3.9495 3.7645
C 2.8803 5.4640 1.1406
```

Calculated values
As for the energy above the most stable polymorph in this dataset: 24.0 kJ/mol of formula units. For the formation energy, the calculation gives -0.27 eV/f.u. The total moment is 0.0 μB/f.u. The value obtained for the raw total energy is -91.5 eV per cell.

=====

Entry from Alexandria: a relaxed SiIr2Rh crystal (PBE).

Cell and atoms, written as extended XYZ:
```
4
Lattice="2.7673 0.0000 0.0000 0.0000 3.6274 0.0000 0.0000 0.0000 5.5624" Properties=species:S:1:pos:R:3 pbc="T T T"
Si 0.0000 0.0000 0.0000
Ir 1.3837 1.8137 1.3179
Ir 1.3837 1.8137 4.2445
Rh 0.0000 0.0000 2.7812
```

Calculated values
The total moment is 0.0 μB/f.u. The calculation puts the energy relative to the elements, uncorrected at -0.117 eV per atom. The value obtained for the raw total energy is -31.0 eV per cell.

=====

Entry from Alexandria: a relaxed SiAgAs2 crystal (PBE).

Cell and atoms, written as extended XYZ:
```
4
Lattice="0.0000 3.3326 3.3326 3.3326 0.0000 3.3326 3.3326 3.3326 0.0000" Properties=species:S:1:pos:R:3 pbc="T T T"
Si 0.0000 0.0000 0.0000
Ag 4.9989 4.9989 4.9989
As 1.6663 1.6663 1.6663
As 3.3326 3.3326 3.3326
```

Calculated values
The total moment is 0.0 μB/f.u. The calculation puts the energy relative to the elements, uncorrected at 0.493 eV per atom. The value obtained for the raw total energy is -15.6 eV per cell.

=====

Entry from Alexandria: a relaxed Tm2HfH8 crystal (PBE).

Cell and atoms, written as extended XYZ:
```
11
Lattice="-1.8085 2.3468 5.2800 1.8085 -2.3468 5.2800 1.8085 2.3468 -5.2800" Properties=species:S:1:pos:R:3 pbc="T T T"
Tm 0.0000 0.0000 1.7613
Tm 0.0000 0.0000 8.7987
Hf 0.0000 0.0000 5.2800
H 1.8085 1.1591 -1.6211
H 0.0000 1.2238 0.0000
H 1.8085 0.0000 3.4612
H 1.8085 1.1591 1.6211
H 0.0000 1.1876 3.6589
H 0.0000 2.3468 1.8188
H 0.0000 3.4697 0.0000
H 0.0000 1.1876 6.9011
```

Calculated values
The total moment is 0.0 μB/f.u. The value obtained for the raw total energy is -51.1 eV per cell.

=====

Entry from Alexandria: a relaxed Ca2CuSi crystal (PBE).

Cell and atoms, written as extended XYZ:
```
4
Lattice="-2.1804 2.1804 4.6742 2.1804 -2.1804 4.6742 2.1804 2.1804 -4.6742" Properties=species:S:1:pos:R:3 pbc="T T T"
Ca 0.0000 0.0000 0.0000
Ca 0.0000 2.1804 2.3371
Cu 2.1804 0.0000 2.3371
Si 0.0000 0.0000 4.6742
```

Calculated values
The total moment is 0.0 μB/f.u. The calculation puts the energy relative to the elements, uncorrected at -0.020 eV per atom. The value obtained for the raw total energy is -13.6 eV per cell.

=====

Entry from Alexandria: a relaxed Tl2In4Sn5 crystal (PBE).

Cell and atoms, written as extended XYZ:
```
11
Lattice="7.0117 -3.1996 0.0000 7.0117 3.1996 0.0000 -5.5993 0.0000 7.1866" Properties=species:S:1:pos:R:3 pbc="T T T"
Tl 1.2182 0.0000 1.1761
Tl 7.2058 0.0000 6.0105
In -1.6912 0.0000 6.7172
In 0.3077 0.0000 4.2083
In 8.1163 0.0000 2.9784
In 10.1153 0.0000 0.4694
Sn 3.2487 1.5693 4.8228
Sn 5.1754 1.5693 2.3638
Sn 7.0117 0.0000 0.0000
Sn 3.2487 -1.5693 4.8228
Sn 5.1754 -1.5693 2.3638
```

Calculated values
For the formation energy, the calculation gives 0.73 eV/f.u. The total moment is 0.0 μB/f.u. The value obtained for the raw total energy is -35.0 eV per cell.

=====

Entry from Alexandria: a relaxed Ce5GeRh crystal (PBE).

Cell and atoms, written as extended XYZ:
```
14
Lattice="4.3505 -4.2852 0.0000 4.3505 4.2852 0.0000 -1.8254 0.0000 9.4556" Properties=species:S:1:pos:R:3 pbc="T T T"
Ce 2.1213 2.6199 3.0254
Ce 2.9815 2.8927 7.0917
Ce 1.0201 0.9723 9.0822
Ce 5.6671 2.6199 1.7024
Ce 1.9328 -0.9723 4.3544
Ce 4.9429 0.9723 5.1011
Ce 1.2086 -2.6199 7.7532
Ce 5.8556 -0.9723 0.3734
Ce 3.8942 -2.8927 2.3639
Ce 4.7544 -2.6199 6.4301
Ge 3.8942 0.1708 2.3639
Ge 2.9815 -0.1708 7.0917
Rh 0.0000 0.0000 0.0000
Rh -0.9127 0.0000 4.7278
```

Calculated values
For the formation energy, the calculation gives -2.55 eV/f.u. The total moment is 0.0 μB/f.u. The value obtained for the raw total energy is -88.4 eV per cell.

=====

Entry from Alexandria: a relaxed Pm3Y4Tl crystal (PBE).

Cell and atoms, written as extended XYZ:
```
8
Lattice="3.6367 0.0000 0.0000 0.0000 3.6367 0.0000 0.0000 0.0000 19.3854" Properties=species:S:1:pos:R:3 pbc="T T T"
Pm 0.0000 0.0000 0.0000
Pm 0.0000 0.0000 5.0873
Pm 0.0000 0.0000 14.2981
Y 1.8183 1.8183 2.5281
Y 1.8183 1.8183 7.6170
Y 1.8183 1.8183 11.7683
Y 1.8183 1.8183 16.8573
Tl 0.0000 0.0000 9.6927
```

Calculated values
As for the energy above the most stable polymorph in this dataset: 0.0 kJ/mol of formula units. For the formation energy, the calculation gives -0.71 eV/f.u. The total moment is 0.0 μB/f.u. The value obtained for the raw total energy is -43.2 eV per cell.

=====

Entry from Alexandria: a relaxed LaPm2Er2Tm2 crystal (PBE).

Cell and atoms, written as extended XYZ:
```
7
Lattice="5.7815 -1.7505 0.0000 5.7815 1.7505 0.0000 -2.2986 0.0000 11.5363" Properties=species:S:1:pos:R:3 pbc="T T T"
La 0.0000 0.0000 0.0000
Pm 3.0136 0.0000 4.8989
Pm 6.2508 0.0000 6.6374
Er 3.0240 0.0000 8.4039
Er 6.2404 0.0000 3.1324
Tm 3.1188 0.0000 1.4859
Tm 6.1457 0.0000 10.0504
```

Calculated values
For the formation energy, the calculation gives 1.03 eV/f.u. The total moment is 0.0 μB/f.u. The value obtained for the raw total energy is -31.5 eV per cell.

=====

Entry from Alexandria: a relaxed TcIBr crystal (PBE).

Cell and atoms, written as extended XYZ:
```
6
Lattice="7.5199 -1.7617 0.0000 7.5199 1.7617 0.0000 -1.3895 0.0000 7.5294" Properties=species:S:1:pos:R:3 pbc="T T T"
Tc 2.9086 0.0000 3.0053
Tc 10.7417 0.0000 4.5241
I 1.0612 0.0000 5.2874
I 12.5891 0.0000 2.2420
Br 4.6922 0.0000 5.9504
Br 8.9580 0.0000 1.5790
```

Calculated values
As for the energy above the most stable polymorph in this dataset: 0.0 kJ/mol of formula units. The total moment is 0.0 μB/f.u. The calculation puts the energy relative to the elements, uncorrected at 0.067 eV per atom. The value obtained for the raw total energy is -26.8 eV per cell.